The following is a DFT calculation (PBE-GGA) of Ca2AcDy after structural relaxation.

Values from the calculation:
formation energy from the elements: 0.5 eV/f.u.
calculated total energy: -48.8 eV/cell
polymorph energy (0 for the lowest one): 0.042 eV per atom
N(E_F): 22.2 states/eV per cell
space-group type: Fm-3m

Cell lengths 8.5564, 8.5564, 8.5564 Å; angles 90.00, 90.00, 90.00 degrees
Last column: nearest neighbours and their distance in Å.
Fractional positions:
Ca 0.2500 0.2500 0.2500  4 Ac 3.71, 4 Dy 3.71
Ca 0.2500 0.2500 0.7500  4 Ac 3.71, 4 Dy 3.71
Ca 0.2500 0.7500 0.2500  4 Ac 3.71, 4 Dy 3.71
Ca 0.2500 0.7500 0.7500  4 Ac 3.71, 4 Dy 3.71
Ca 0.7500 0.2500 0.2500  4 Ac 3.71, 4 Dy 3.71
Ca 0.7500 0.2500 0.7500  4 Ac 3.71, 4 Dy 3.71
Ca 0.7500 0.7500 0.2500  4 Ac 3.71, 4 Dy 3.71
Ca 0.7500 0.7500 0.7500  4 Dy 3.71, 4 Ac 3.71
Ac 0.0000 0.0000 0.0000  8 Ca 3.71
Ac 0.0000 0.5000 0.5000  8 Ca 3.71
Ac 0.5000 0.0000 0.5000  8 Ca 3.71
Ac 0.5000 0.5000 0.0000  8 Ca 3.71
Dy 0.0000 0.0000 0.5000  8 Ca 3.71
Dy 0.0000 0.5000 0.0000  8 Ca 3.71
Dy 0.5000 0.0000 0.0000  8 Ca 3.71
Dy 0.5000 0.5000 0.5000  8 Ca 3.71

The following is a DFT calculation (PBE-GGA) of Ca2AcDy after structural relaxation.

Values from the calculation:
formation energy from the elements: 0.5 eV/f.u.
calculated total energy: -12.2 eV/cell
polymorph energy (0 for the lowest one): 0.034 eV per atom
N(E_F): 5.4 states/eV per cell
space-group type: P4/mmm

Cell lengths 4.2480, 4.2480, 8.6409 Å; angles 90.00, 90.00, 90.00 degrees
Last column: nearest neighbours and their distance in Å.
Fractional positions:
Ca 0.0000 0.0000 0.2295  4 Dy 3.60, 4 Ac 3.81, 1 Ca 3.97
Ca 0.0000 0.0000 0.7705  4 Dy 3.60, 4 Ac 3.81, 1 Ca 3.97
Ac 0.5000 0.5000 0.5000  8 Ca 3.81, 4 Ac 4.25
Dy 0.5000 0.5000 0.0000  8 Ca 3.60

The following is a DFT calculation (PBE-GGA) of CaAc15Dy4 after structural relaxation.

Values from the calculation:
formation energy from the elements: 0.6 eV/f.u.
calculated total energy: -81.4 eV/cell
N(E_F): 24.1 states/eV per cell
space-group type: P4/mmm

Cell lengths 5.5184, 5.5184, 27.4944 Å; angles 90.00, 90.00, 90.00 degrees
Last column: nearest neighbours and their distance in Å.
Fractional positions:
Ca 0.0000 0.0000 0.0000  12 Ac 3.90-3.97
Ac 0.0000 0.5000 0.1037  2 Dy 3.85, 8 Ac 3.86-3.97, 2 Ca 3.97
Ac 0.0000 0.5000 0.3014  8 Ac 3.88-3.90, 4 Dy 3.88-3.89
Ac 0.0000 0.5000 0.5000  4 Dy 3.88, 8 Ac 3.89-3.90
Ac 0.0000 0.5000 0.6986  8 Ac 3.88-3.90, 4 Dy 3.88-3.89
Ac 0.0000 0.5000 0.8963  2 Dy 3.85, 8 Ac 3.86-3.97, 2 Ca 3.97
Ac 0.5000 0.0000 0.1037  2 Dy 3.85, 8 Ac 3.86-3.97, 2 Ca 3.97
Ac 0.5000 0.0000 0.3014  8 Ac 3.88-3.90, 4 Dy 3.88-3.89
Ac 0.5000 0.0000 0.5000  4 Dy 3.88, 8 Ac 3.89-3.90
Ac 0.5000 0.0000 0.6986  8 Ac 3.88-3.90, 4 Dy 3.88-3.89
Ac 0.5000 0.0000 0.8963  2 Dy 3.85, 8 Ac 3.86-3.97, 2 Ca 3.97
Ac 0.5000 0.5000 0.0000  4 Ca 3.90, 8 Ac 3.97
Ac 0.5000 0.5000 0.2020  8 Ac 3.86-3.88, 4 Dy 3.90
Ac 0.5000 0.5000 0.4004  8 Ac 3.88-3.89, 4 Dy 3.90
Ac 0.5000 0.5000 0.5996  8 Ac 3.88-3.89, 4 Dy 3.90
Ac 0.5000 0.5000 0.7980  8 Ac 3.86-3.88, 4 Dy 3.90
Dy 0.0000 0.0000 0.2014  12 Ac 3.85-3.90
Dy 0.0000 0.0000 0.4008  12 Ac 3.88-3.90
Dy 0.0000 0.0000 0.5992  12 Ac 3.88-3.90
Dy 0.0000 0.0000 0.7986  12 Ac 3.85-3.90

The following is a DFT calculation (PBE-GGA) of CaAc12Dy3 after structural relaxation.

Values from the calculation:
formation energy from the elements: 0.5 eV/f.u.
calculated total energy: -64.6 eV/cell
N(E_F): 21.8 states/eV per cell
space-group type: P4/mmm

Cell lengths 5.5143, 5.5143, 22.0730 Å; angles 90.00, 90.00, 90.00 degrees
Last column: nearest neighbours and their distance in Å.
Fractional positions:
Ca 0.0000 0.0000 0.0000  12 Ac 3.90-3.97
Ac 0.0000 0.5000 0.1296  2 Dy 3.85, 8 Ac 3.86-3.97, 2 Ca 3.97
Ac 0.0000 0.5000 0.3762  8 Ac 3.88-3.90, 4 Dy 3.88-3.89
Ac 0.0000 0.5000 0.6238  8 Ac 3.88-3.90, 4 Dy 3.88-3.89
Ac 0.0000 0.5000 0.8704  2 Dy 3.85, 8 Ac 3.86-3.97, 2 Ca 3.97
Ac 0.5000 0.0000 0.1296  2 Dy 3.85, 8 Ac 3.86-3.97, 2 Ca 3.97
Ac 0.5000 0.0000 0.3762  8 Ac 3.88-3.90, 4 Dy 3.88-3.89
Ac 0.5000 0.0000 0.6238  8 Ac 3.88-3.90, 4 Dy 3.88-3.89
Ac 0.5000 0.0000 0.8704  2 Dy 3.85, 8 Ac 3.86-3.97, 2 Ca 3.97
Ac 0.5000 0.5000 0.0000  4 Ca 3.90, 8 Ac 3.97
Ac 0.5000 0.5000 0.2521  8 Ac 3.86-3.89, 4 Dy 3.90
Ac 0.5000 0.5000 0.5000  8 Ac 3.88, 4 Dy 3.90
Ac 0.5000 0.5000 0.7479  8 Ac 3.86-3.89, 4 Dy 3.90
Dy 0.0000 0.0000 0.2516  12 Ac 3.85-3.90
Dy 0.0000 0.0000 0.5000  12 Ac 3.88-3.90
Dy 0.0000 0.0000 0.7484  12 Ac 3.85-3.90

The following is a DFT calculation (PBE-GGA) of Ca4Ac15Dy after structural relaxation.

Values from the calculation:
formation energy from the elements: 0.5 eV/f.u.
calculated total energy: -73.7 eV/cell
N(E_F): 27.9 states/eV per cell
space-group type: P4/mmm

Cell lengths 5.5671, 5.5671, 28.0081 Å; angles 90.00, 90.00, 90.00 degrees
Last column: nearest neighbours and their distance in Å.
Fractional positions:
Ca 0.0000 0.0000 0.1007  12 Ac 3.94-3.97
Ca 0.0000 0.0000 0.3022  12 Ac 3.94-3.98
Ca 0.0000 0.0000 0.6978  12 Ac 3.94-3.98
Ca 0.0000 0.0000 0.8993  12 Ac 3.94-3.97
Ac 0.0000 0.5000 0.0000  8 Ac 3.94-3.96, 4 Ca 3.96
Ac 0.0000 0.5000 0.2017  8 Ac 3.94-3.97, 4 Ca 3.96-3.97
Ac 0.0000 0.5000 0.4038  8 Ac 3.87-3.98, 2 Dy 3.87, 2 Ca 3.98
Ac 0.0000 0.5000 0.5962  8 Ac 3.87-3.98, 2 Dy 3.87, 2 Ca 3.98
Ac 0.0000 0.5000 0.7983  8 Ac 3.94-3.97, 4 Ca 3.96-3.97
Ac 0.5000 0.0000 0.0000  8 Ac 3.94-3.96, 4 Ca 3.96
Ac 0.5000 0.0000 0.2017  8 Ac 3.94-3.97, 4 Ca 3.96-3.97
Ac 0.5000 0.0000 0.4038  8 Ac 3.87-3.98, 2 Dy 3.87, 2 Ca 3.98
Ac 0.5000 0.0000 0.5962  8 Ac 3.87-3.98, 2 Dy 3.87, 2 Ca 3.98
Ac 0.5000 0.0000 0.7983  8 Ac 3.94-3.97, 4 Ca 3.96-3.97
Ac 0.5000 0.5000 0.1008  4 Ca 3.94, 8 Ac 3.96-3.97
Ac 0.5000 0.5000 0.3023  4 Ca 3.94, 8 Ac 3.96-3.98
Ac 0.5000 0.5000 0.5000  8 Ac 3.87, 4 Dy 3.94
Ac 0.5000 0.5000 0.6977  4 Ca 3.94, 8 Ac 3.96-3.98
Ac 0.5000 0.5000 0.8992  4 Ca 3.94, 8 Ac 3.96-3.97
Dy 0.0000 0.0000 0.5000  12 Ac 3.87-3.94

The following is a DFT calculation (PBE-GGA) of Ca2AcDy after structural relaxation.

Values from the calculation:
formation energy from the elements: 0.4 eV/f.u.
calculated total energy: -37.0 eV/cell
polymorph energy (0 for the lowest one): 0.012 eV per atom
N(E_F): 17.4 states/eV per cell
space-group type: R3m

Cell lengths 3.8110, 3.8110, 37.5116 Å; angles 90.00, 90.00, 120.00 degrees
Last column: nearest neighbours and their distance in Å.
Fractional positions:
Ca 0.0000 0.0000 0.0000  3 Dy 3.69, 6 Ca 3.81, 3 Ac 3.95
Ca 0.0000 0.0000 0.1585  3 Dy 3.71, 6 Ca 3.81, 3 Ac 3.94
Ca 0.3333 0.6667 0.6667  3 Dy 3.69, 6 Ca 3.81, 3 Ac 3.95
Ca 0.3333 0.6667 0.8251  3 Dy 3.71, 6 Ca 3.81, 3 Ac 3.94
Ca 0.6667 0.3333 0.3333  3 Dy 3.69, 6 Ca 3.81, 3 Ac 3.95
Ca 0.6667 0.3333 0.4918  3 Dy 3.71, 6 Ca 3.81, 3 Ac 3.94
Ac 0.0000 0.0000 0.5791  6 Ac 3.81, 6 Ca 3.94-3.95
Ac 0.3333 0.6667 0.2457  6 Ac 3.81, 6 Ca 3.94-3.95
Ac 0.6667 0.3333 0.9124  6 Ac 3.81, 6 Ca 3.94-3.95
Dy 0.0000 0.0000 0.7456  6 Ca 3.69-3.71, 6 Dy 3.81
Dy 0.3333 0.6667 0.4123  6 Ca 3.69-3.71, 6 Dy 3.81
Dy 0.6667 0.3333 0.0790  6 Ca 3.69-3.71, 6 Dy 3.81

The following is a DFT calculation (PBE-GGA) of Ca2Ac15Dy2 after structural relaxation.

Values from the calculation:
formation energy from the elements: 5.1 eV/f.u.
calculated total energy: -69.8 eV/cell
N(E_F): 29.3 states/eV per cell
space-group type: R-3m

Cell lengths 9.6940, 9.6940, 9.6940 Å; angles 81.15, 81.15, 81.15 degrees
Last column: nearest neighbours and their distance in Å.
Fractional positions:
Ca 0.1751 0.1751 0.1751  15 Ac 4.47-4.74, 1 Dy 4.48
Ca 0.8249 0.8249 0.8249  15 Ac 4.47-4.74, 1 Dy 4.48
Ac 0.0000 0.5000 0.5000  8 Ac 3.68-3.72, 2 Dy 3.91
Ac 0.1421 0.1421 0.6439  6 Ac 3.68-3.78, 1 Dy 4.12
Ac 0.1421 0.6439 0.1421  6 Ac 3.68-3.78, 1 Dy 4.12
Ac 0.2068 0.5000 0.7932  8 Ac 3.70-4.12, 2 Dy 4.10
Ac 0.2068 0.7932 0.5000  8 Ac 3.70-4.12, 2 Dy 4.10
Ac 0.3561 0.8579 0.8579  6 Ac 3.68-3.78, 1 Dy 4.12
Ac 0.5000 0.0000 0.5000  8 Ac 3.68-3.72, 2 Dy 3.91
Ac 0.5000 0.2068 0.7932  8 Ac 3.70-4.12, 2 Dy 4.10
Ac 0.5000 0.5000 0.0000  8 Ac 3.68-3.72, 2 Dy 3.91
Ac 0.5000 0.7932 0.2068  8 Ac 3.70-4.12, 2 Dy 4.10
Ac 0.6439 0.1421 0.1421  6 Ac 3.68-3.78, 1 Dy 4.12
Ac 0.7932 0.2068 0.5000  8 Ac 3.70-4.12, 2 Dy 4.10
Ac 0.7932 0.5000 0.2068  8 Ac 3.70-4.12, 2 Dy 4.10
Ac 0.8579 0.3561 0.8579  6 Ac 3.68-3.78, 1 Dy 4.12
Ac 0.8579 0.8579 0.3561  6 Ac 3.68-3.78, 1 Dy 4.12
Dy 0.4082 0.4082 0.4082  1 Dy 3.52, 3 Ac 3.91
Dy 0.5918 0.5918 0.5918  1 Dy 3.52, 3 Ac 3.91

The following is a DFT calculation (PBE-GGA) of Ca2AcDy after structural relaxation.

Values from the calculation:
formation energy from the elements: 0.6 eV/f.u.
calculated total energy: -12.1 eV/cell
polymorph energy (0 for the lowest one): 0.054 eV per atom
N(E_F): 6.8 states/eV per cell
space-group type: P4/mmm

Cell lengths 5.2293, 5.2293, 5.7388 Å; angles 90.00, 90.00, 90.00 degrees
Last column: nearest neighbours and their distance in Å.
Fractional positions:
Ca 0.0000 0.5000 0.0000  4 Ca 3.70, 4 Ac 3.88, 4 Dy 3.88
Ca 0.5000 0.0000 0.0000  4 Ca 3.70, 4 Ac 3.88, 4 Dy 3.88
Ac 0.0000 0.0000 0.5000  4 Dy 3.70, 8 Ca 3.88
Dy 0.5000 0.5000 0.5000  4 Ac 3.70, 8 Ca 3.88

The following is a DFT calculation (PBE-GGA) of Ca2AcDy after structural relaxation.

Values from the calculation:
formation energy from the elements: 0.3 eV/f.u.
calculated total energy: -12.4 eV/cell
polymorph energy (0 for the lowest one): 0.000 eV per atom
N(E_F): 5.6 states/eV per cell
space-group type: Pm

Cell lengths 3.8320, 6.2496, 6.4806 Å; angles 90.00, 90.06, 90.00 degrees
Last column: nearest neighbours and their distance in Å.
Fractional positions:
Ca 0.0000 0.0000 0.0000  6 Ca 3.70-3.83, 4 Dy 3.80-3.81, 2 Ac 3.83
Ca 0.5004 0.0000 0.4894  6 Ca 3.70-3.83, 2 Dy 3.79, 4 Ac 3.82-3.83
Ac 0.0021 0.5000 0.6573  4 Dy 3.76-3.77, 6 Ca 3.82-3.83, 2 Ac 3.83
Dy 0.5019 0.5000 0.1576  4 Ac 3.76-3.77, 6 Ca 3.79-3.81, 2 Dy 3.83

The following is a DFT calculation (PBE-GGA) of Ca2Ac4Dy after structural relaxation.

Values from the calculation:
formation energy from the elements: 2.0 eV/f.u.
calculated total energy: -46.2 eV/cell
N(E_F): 19.8 states/eV per cell
space-group type: Cmmm

Cell lengths 3.7980, 28.6743, 6.2350 Å; angles 90.00, 90.00, 90.00 degrees
Last column: nearest neighbours and their distance in Å.
Fractional positions:
Ca 0.0000 0.1901 0.0000  4 Ca 3.80-3.93, 4 Ac 3.82-3.99
Ca 0.0000 0.8099 0.0000  4 Ca 3.80-3.93, 4 Ac 3.82-3.99
Ca 0.5000 0.3099 0.0000  4 Ca 3.80-3.93, 4 Ac 3.82-3.99
Ca 0.5000 0.6901 0.0000  4 Ca 3.80-3.93, 4 Ac 3.82-3.99
Ac 0.0000 0.1128 0.5000  2 Dy 3.75, 6 Ac 3.80-3.87, 2 Ca 3.82
Ac 0.0000 0.4321 0.0000  2 Dy 3.67, 7 Ac 3.80-3.89, 2 Ca 3.99
Ac 0.0000 0.5679 0.0000  2 Dy 3.67, 7 Ac 3.80-3.89, 2 Ca 3.99
Ac 0.0000 0.8872 0.5000  2 Dy 3.75, 6 Ac 3.80-3.87, 2 Ca 3.82
Ac 0.5000 0.0679 0.0000  2 Dy 3.67, 7 Ac 3.80-3.89, 2 Ca 3.99
Ac 0.5000 0.3872 0.5000  2 Dy 3.75, 6 Ac 3.80-3.87, 2 Ca 3.82
Ac 0.5000 0.6128 0.5000  2 Dy 3.75, 6 Ac 3.80-3.87, 2 Ca 3.82
Ac 0.5000 0.9321 0.0000  2 Dy 3.67, 7 Ac 3.80-3.89, 2 Ca 3.99
Dy 0.0000 0.5000 0.5000  8 Ac 3.67-3.75, 2 Dy 3.80
Dy 0.5000 0.0000 0.5000  8 Ac 3.67-3.75, 2 Dy 3.80

The following is a DFT calculation (PBE-GGA) of CaAc8Dy2 after structural relaxation.

Values from the calculation:
formation energy from the elements: 2.1 eV/f.u.
calculated total energy: -42.0 eV/cell
N(E_F): 18.9 states/eV per cell
space-group type: C2/m

Cell lengths 9.7149, 9.7149, 7.4084 Å; angles 104.42, 104.42, 45.21 degrees
Last column: nearest neighbours and their distance in Å.
Fractional positions:
Ca 0.0000 0.0000 0.0000  6 Ac 3.75-4.18
Ac 0.1705 0.6413 0.3077  2 Dy 3.44-3.80, 3 Ac 3.52-3.79, 1 Ca 3.75
Ac 0.2087 0.2087 0.4211  1 Dy 3.51, 3 Ac 3.79-3.87
Ac 0.3587 0.8295 0.6923  2 Dy 3.44-3.80, 3 Ac 3.52-3.79, 1 Ca 3.75
Ac 0.4043 0.4043 0.8033  1 Dy 3.55, 2 Ac 3.86-3.87
Ac 0.5957 0.5957 0.1967  1 Dy 3.55, 2 Ac 3.86-3.87
Ac 0.6413 0.1705 0.3077  2 Dy 3.44-3.80, 3 Ac 3.52-3.79, 1 Ca 3.75
Ac 0.7913 0.7913 0.5789  1 Dy 3.51, 3 Ac 3.79-3.87
Ac 0.8295 0.3587 0.6923  2 Dy 3.44-3.80, 3 Ac 3.52-3.79, 1 Ca 3.75
Dy 0.2366 0.2366 0.9703  6 Ac 3.44-3.80, 2 Dy 3.78
Dy 0.7634 0.7634 0.0297  6 Ac 3.44-3.80, 2 Dy 3.78

The following is a DFT calculation (PBE-GGA) of Ca2Ac5Dy after structural relaxation.

Values from the calculation:
formation energy from the elements: 0.3 eV/f.u.
calculated total energy: -57.7 eV/cell
N(E_F): 28.0 states/eV per cell
space-group type: I4/mmm

Cell lengths 5.5246, 5.5246, 22.2584 Å; angles 90.00, 90.00, 90.00 degrees
Last column: nearest neighbours and their distance in Å.
Fractional positions:
Ca 0.0000 0.0000 0.2493  4 Ca 3.91, 8 Ac 3.98-4.00
Ca 0.0000 0.0000 0.7507  4 Ca 3.91, 8 Ac 3.98-4.00
Ca 0.5000 0.5000 0.2507  4 Ca 3.91, 8 Ac 3.98-4.00
Ca 0.5000 0.5000 0.7493  4 Ca 3.91, 8 Ac 3.98-4.00
Ac 0.0000 0.0000 0.0000  8 Ac 3.85, 4 Dy 3.91
Ac 0.0000 0.5000 0.1208  6 Ac 3.85-3.91, 2 Dy 3.85, 4 Ca 3.98-4.00
Ac 0.0000 0.5000 0.3792  6 Ac 3.85-3.91, 2 Dy 3.85, 4 Ca 3.98-4.00
Ac 0.0000 0.5000 0.6208  6 Ac 3.85-3.91, 2 Dy 3.85, 4 Ca 3.98-4.00
Ac 0.0000 0.5000 0.8792  6 Ac 3.85-3.91, 2 Dy 3.85, 4 Ca 3.98-4.00
Ac 0.5000 0.0000 0.1208  6 Ac 3.85-3.91, 2 Dy 3.85, 4 Ca 3.98-4.00
Ac 0.5000 0.0000 0.3792  6 Ac 3.85-3.91, 2 Dy 3.85, 4 Ca 3.98-4.00
Ac 0.5000 0.0000 0.6208  6 Ac 3.85-3.91, 2 Dy 3.85, 4 Ca 3.98-4.00
Ac 0.5000 0.0000 0.8792  6 Ac 3.85-3.91, 2 Dy 3.85, 4 Ca 3.98-4.00
Ac 0.5000 0.5000 0.5000  8 Ac 3.85, 4 Dy 3.91
Dy 0.0000 0.0000 0.5000  12 Ac 3.85-3.91
Dy 0.5000 0.5000 0.0000  12 Ac 3.85-3.91

What is the formula in the eighth record? Ca2AcDy